VASP calculation (PBE) on an optimized crystal structure of Pm4HoCd.

Offset from the most stable computed form (meV/atom): 97
DOS(E_F) (states/eV per atom): 1.324
Spin magnetization (μB/f.u.): 0.00
ΔE_f (eV per atom): 0.003

Unit cell a=6.393 b=9.057 c=8.463 alpha=113.09 beta=100.09 gamma=112.25
Atoms (fractional coordinates):
Pm  0.043  0.167  0.762
Pm  0.757  0.711  0.618
Pm  0.219  0.595  0.762
Pm  0.361  0.907  0.618
Pm  0.639  0.093  0.382
Pm  0.781  0.405  0.238
Pm  0.243  0.289  0.382
Pm  0.957  0.833  0.238
Ho  0.338  0.588  0.176
Ho  0.662  0.412  0.824
Cd  0.251  0.001  0.002
Cd  0.749  0.999  0.998

VASP calculation (PBE) on an optimized crystal structure of BiPtN2O.

Energy relative to the elements, uncorrected (eV/atom): 1.787
DOS(E_F) (states/eV per atom): 0.922
Spin magnetization (μB/f.u.): 1.36

Unit cell a=4.338 b=4.338 c=4.096 alpha=90.00 beta=90.00 gamma=90.00
Atoms (fractional coordinates):
O  0.000  0.000  0.500
Bi  0.000  0.000  0.000
Pt  0.500  0.500  0.500
N  0.000  0.500  0.000
N  0.500  0.000  0.000

VASP calculation (PBE) on an optimized crystal structure of ThMgZn.

DOS(E_F) (states/eV per atom): 0.189
Spin magnetization (μB/f.u.): 0.00
ΔE_f (eV per atom): 0.002

Unit cell a=4.819 b=4.819 c=4.819 alpha=60.00 beta=60.00 gamma=60.00
Atoms (fractional coordinates):
Zn  0.250  0.250  0.250
Mg  0.500  0.500  0.500
Th  0.000  0.000  0.000

VASP calculation (PBE) on an optimized crystal structure of NpCo3.

DOS(E_F) (states/eV per atom): 1.996
Spin magnetization (μB/f.u.): 0.96
ΔE_f (eV per atom): -0.005

Unit cell a=4.791 b=4.791 c=16.138 alpha=90.00 beta=90.00 gamma=120.00
Atoms (fractional coordinates):
Np  0.667  0.333  0.539
Np  0.333  0.667  0.039
Np  0.333  0.667  0.461
Np  0.667  0.333  0.961
Np  0.667  0.333  0.750
Np  0.333  0.667  0.250
Co  0.334  0.167  0.126
Co  0.833  0.167  0.126
Co  0.833  0.666  0.126
Co  0.666  0.833  0.626
Co  0.167  0.833  0.626
Co  0.167  0.334  0.626
Co  0.167  0.833  0.874
Co  0.666  0.833  0.874
Co  0.167  0.334  0.874
Co  0.833  0.167  0.374
Co  0.334  0.167  0.374
Co  0.833  0.666  0.374
Co  0.667  0.333  0.250
Co  0.333  0.667  0.750
Co  0.000  0.000  0.250
Co  0.000  0.000  0.750
Co  0.000  0.000  0.000
Co  0.000  0.000  0.500

VASP calculation (PBE) on an optimized crystal structure of ZrIn2Mo.

Offset from the most stable computed form (meV/atom): 10
DOS(E_F) (states/eV per atom): 0.608
Spin magnetization (μB/f.u.): 0.00
ΔE_f (eV per atom): 0.046

Unit cell a=4.188 b=4.188 c=4.576 alpha=90.00 beta=90.00 gamma=90.00
Atoms (fractional coordinates):
In  0.000  0.000  0.000
In  0.500  0.500  0.000
Mo  0.500  0.000  0.500
Zr  0.000  0.500  0.500

VASP calculation (PBE) on an optimized crystal structure of PSe3.

Offset from the most stable computed form (meV/atom): 618
Energy relative to the elements, uncorrected (eV/atom): 0.845
DOS(E_F) (states/eV per atom): 0.854
Spin magnetization (μB/f.u.): 0.00

Unit cell a=4.246 b=4.246 c=4.246 alpha=90.00 beta=90.00 gamma=90.00
Atoms (fractional coordinates):
P  0.000  0.000  0.000
Se  0.000  0.500  0.500
Se  0.500  0.000  0.500
Se  0.500  0.500  0.000

VASP calculation (PBE) on an optimized crystal structure of Ca2MoPt.

Offset from the most stable computed form (meV/atom): 301
DOS(E_F) (states/eV per atom): 0.653
Spin magnetization (μB/f.u.): 0.78
ΔE_f (eV per atom): 0.359

Unit cell a=5.157 b=5.157 c=5.743 alpha=81.32 beta=81.32 gamma=33.75
Atoms (fractional coordinates):
Mo  0.750  0.750  0.750
Ca  0.989  0.989  0.004
Ca  0.511  0.511  0.496
Pt  0.250  0.250  0.250

VASP calculation (PBE) on an optimized crystal structure of Zr2SnPd6.

DOS(E_F) (states/eV per atom): 0.622
Spin magnetization (μB/f.u.): 0.00
ΔE_f (eV per atom): -0.505

Unit cell a=3.059 b=7.551 c=7.966 alpha=118.29 beta=89.97 gamma=90.00
Atoms (fractional coordinates):
Zr  0.500  0.687  0.373
Zr  0.500  0.313  0.627
Sn  0.000  0.000  0.000
Pd  0.000  0.350  0.322
Pd  0.000  0.028  0.678
Pd  0.000  0.650  0.678
Pd  0.500  0.318  0.000
Pd  0.000  0.972  0.322
Pd  0.500  0.682  0.000

VASP calculation (PBE) on an optimized crystal structure of YIn2As.

DOS(E_F) (states/eV per atom): 0.509
Spin magnetization (μB/f.u.): 0.00
ΔE_f (eV per atom): -0.346

Unit cell a=8.386 b=8.386 c=6.630 alpha=50.77 beta=50.77 gamma=90.00
Atoms (fractional coordinates):
Y  0.000  0.000  0.000
Y  0.750  0.250  0.500
As  0.500  0.500  0.000
As  0.250  0.750  0.500
In  0.589  0.125  0.250
In  0.161  0.625  0.250
In  0.375  0.411  0.750
In  0.875  0.839  0.750

VASP calculation (PBE) on an optimized crystal structure of La2ErAgSe5.

Energy relative to the elements, uncorrected (eV/atom): -1.652
DOS(E_F) (states/eV per atom): 0.006
Spin magnetization (μB/f.u.): 0.00

Unit cell a=4.197 b=9.071 c=12.583 alpha=90.00 beta=90.00 gamma=103.38
Atoms (fractional coordinates):
La  0.875  0.750  0.808
La  0.110  0.221  0.686
La  0.125  0.250  0.308
La  0.890  0.779  0.186
Er  0.804  0.609  0.510
Er  0.196  0.391  0.010
Ag  0.557  0.113  0.957
Ag  0.443  0.887  0.457
Se  0.358  0.715  0.001
Se  0.695  0.390  0.850
Se  0.497  0.994  0.771
Se  0.287  0.574  0.665
Se  0.953  0.906  0.576
Se  0.642  0.285  0.501
Se  0.305  0.610  0.350
Se  0.503  0.006  0.271
Se  0.713  0.426  0.165
Se  0.047  0.094  0.076

VASP calculation (PBE) on an optimized crystal structure of KTaTiO2.

Energy relative to the elements, uncorrected (eV/atom): 0.373
DOS(E_F) (states/eV per atom): 0.703
Spin magnetization (μB/f.u.): 2.71

Unit cell a=3.968 b=6.206 c=3.968 alpha=90.00 beta=90.00 gamma=90.00
Atoms (fractional coordinates):
K  0.000  0.500  0.000
Ti  0.000  0.000  0.000
O  0.000  0.000  0.500
O  0.500  0.000  0.000
Ta  0.500  0.500  0.500

VASP calculation (PBE) on an optimized crystal structure of Ti2TeC.

Energy relative to the elements, uncorrected (eV/atom): -0.551
DOS(E_F) (states/eV per atom): 0.593
Spin magnetization (μB/f.u.): 0.00

Unit cell a=3.235 b=5.844 c=7.060 alpha=74.65 beta=90.00 gamma=90.00
Atoms (fractional coordinates):
Ti  0.038  0.919  0.681
Ti  0.538  0.277  0.336
Ti  0.038  0.970  0.058
Ti  0.538  0.328  0.712
Te  0.038  0.469  0.999
Te  0.538  0.778  0.394
C  0.038  0.281  0.527
C  0.538  0.967  0.867